Below is crystalline CaRe3Ge at its relaxed geometry, with properties calculated at the PBE level.

The spin magnetization is 3.3 μB/f.u. The calculation puts the polymorph energy (0 for the lowest one) at 1.876 eV per atom.

Cell: 4.678 4.678 4.678 Å, 90.00 90.00 90.00°
Sites, in units of the cell vectors:
1 Ge 0.500 0.500 0.500
2 Ca 0.000 0.000 0.000
3 Re 0.000 0.500 0.000
4 Re 0.500 0.000 0.000
5 Re 0.000 0.000 0.500



Below is crystalline CaReGe3 at its relaxed geometry, with properties calculated at the PBE level.

The spin magnetization is 0.0 μB/f.u. The calculation puts the polymorph energy (0 for the lowest one) at 2.039 eV per atom.

Cell: 4.998 4.998 4.998 Å, 90.00 90.00 90.00°
Sites, in units of the cell vectors:
1 Re 0.500 0.500 0.500
2 Ge 0.000 0.000 0.500
3 Ge 0.000 0.500 0.000
4 Ca 0.000 0.000 0.000
5 Ge 0.500 0.000 0.000